1.
Here is a relaxed NdLuO3 crystal from Alexandria via LeMat-Bulk. Energies are from PBEsol.

Structure (POSCAR):
```
NdLuO3
1.0
5.9180 0.0000 0.0000
0.0000 8.2248 0.0000
0.0000 0.0000 5.6701
Nd Lu O
4 4 12
direct
0.0566 0.2500 0.0192
0.4434 0.7500 0.5192
0.5566 0.2500 0.4808
0.9434 0.7500 0.9808
0.0000 0.0000 0.5000
0.0000 0.5000 0.5000
0.5000 0.0000 0.0000
0.5000 0.5000 0.0000
0.0560 0.7500 0.3720
0.1965 0.5682 0.8059
0.1965 0.9318 0.8059
0.3035 0.0682 0.3059
0.3035 0.4318 0.3059
0.4440 0.2500 0.8720
0.5560 0.7500 0.1280
0.6965 0.5682 0.6941
0.6965 0.9318 0.6941
0.8035 0.0682 0.1941
0.8035 0.4318 0.1941
0.9440 0.2500 0.6280
```

Summary:
E_form (uncorrected)	-3.57	eV per atom
space-group type	Pnma

***

2.
Here is a relaxed NdLuS3 crystal from Alexandria via LeMat-Bulk. Energies are from PBEsol.

Structure (POSCAR):
```
NdLuS3
1.0
1.9104 -6.1821 0.0000
1.9104 6.1821 0.0000
0.0000 0.0000 9.3673
Nd Lu S
2 2 6
direct
0.2471 0.7529 0.7500
0.7529 0.2471 0.2500
0.5000 0.5000 0.0000
0.5000 0.5000 0.5000
0.1427 0.8573 0.0625
0.1427 0.8573 0.4375
0.4145 0.5855 0.2500
0.5855 0.4145 0.7500
0.8573 0.1427 0.5625
0.8573 0.1427 0.9375
```

Summary:
E_form (uncorrected)	-2.13	eV per atom
space-group type	Cmcm

***

3.
Here is a relaxed NdLu3S6 crystal from Alexandria via LeMat-Bulk. Energies are from PBEsol.

Structure (POSCAR):
```
NdLu3S6
1.0
10.7619 0.0000 0.0000
0.0000 3.8647 0.0000
-3.5991 0.0000 10.4444
Nd Lu S
2 6 12
direct
0.0504 0.2500 0.1971
0.9496 0.7500 0.8029
0.1605 0.2500 0.5869
0.3204 0.7500 0.9990
0.4429 0.2500 0.3333
0.5571 0.7500 0.6667
0.6796 0.2500 0.0010
0.8395 0.7500 0.4131
0.0832 0.7500 0.4076
0.1211 0.2500 0.9647
0.1986 0.7500 0.7491
0.2669 0.7500 0.2288
0.3925 0.2500 0.5565
0.4803 0.2500 0.1128
0.5197 0.7500 0.8872
0.6075 0.7500 0.4435
0.7331 0.2500 0.7712
0.8014 0.2500 0.2509
0.8789 0.7500 0.0353
0.9168 0.2500 0.5924
```

Summary:
E_form (uncorrected)	-2.13	eV per atom
space-group type	P2_1/m

***

4.
Here is a relaxed Nd4Lu11S22 crystal from Alexandria via LeMat-Bulk. Energies are from PBEsol.

Structure (POSCAR):
```
Nd4Lu11S22
1.0
19.0377 -1.9200 0.0000
19.0377 1.9200 0.0000
-0.2888 0.0000 11.0823
Nd Lu S
4 11 22
direct
0.1046 0.1046 0.0136
0.3678 0.3678 0.3516
0.6322 0.6322 0.6484
0.8954 0.8954 0.9864
0.0000 0.0000 0.0000
0.0704 0.0704 0.3603
0.2024 0.2024 0.9408
0.2641 0.2641 0.3526
0.3420 0.3420 0.7000
0.4618 0.4618 0.2682
0.5382 0.5382 0.7318
0.6580 0.6580 0.3000
0.7359 0.7359 0.6474
0.7976 0.7976 0.0592
0.9296 0.9296 0.6397
0.0084 0.0084 0.2396
0.0872 0.0872 0.7557
0.1357 0.1357 0.4508
0.1694 0.1694 0.1507
0.1889 0.1889 0.6906
0.2544 0.2544 0.1203
0.2801 0.2801 0.5901
0.3497 0.3497 0.0939
0.4073 0.4073 0.7871
0.4429 0.4429 0.4904
0.4532 0.4532 0.0290
0.5468 0.5468 0.9710
0.5571 0.5571 0.5096
0.5927 0.5927 0.2129
0.6503 0.6503 0.9061
0.7199 0.7199 0.4099
0.7456 0.7456 0.8797
0.8111 0.8111 0.3094
0.8306 0.8306 0.8493
0.8643 0.8643 0.5492
0.9128 0.9128 0.2443
0.9916 0.9916 0.7604
```

Summary:
E_form (uncorrected)	-2.14	eV per atom
space-group type	C2/m

***

5.
Here is a relaxed LuNi crystal from Alexandria via LeMat-Bulk. Energies are from PBEsol.

Structure (POSCAR):
```
LuNi
1.0
6.7678 0.0000 0.0000
0.0000 4.0133 0.0000
0.0000 0.0000 5.2473
Lu Ni
4 4
direct
0.1797 0.2500 0.1335
0.3203 0.7500 0.6335
0.6797 0.2500 0.3665
0.8203 0.7500 0.8665
0.0368 0.2500 0.6289
0.4632 0.7500 0.1289
0.5368 0.2500 0.8711
0.9632 0.7500 0.3711
```

Summary:
ΔH_f (0 K)	-0.521	eV/atom
space-group type	Pnma

***

6.
Here is a relaxed LuNi2 crystal from Alexandria via LeMat-Bulk. Energies are from PBEsol.

Structure (POSCAR):
```
LuNi2
1.0
0.0000 3.4713 3.4713
3.4713 0.0000 3.4713
3.4713 3.4713 0.0000
Lu Ni
2 4
direct
0.1250 0.1250 0.1250
0.8750 0.8750 0.8750
0.0000 0.5000 0.5000
0.5000 0.0000 0.5000
0.5000 0.5000 0.0000
0.5000 0.5000 0.5000
```

Summary:
ΔH_f (0 K)	-0.544	eV/atom
space-group type	Fd-3m

***

7.
Here is a relaxed Lu2NiOs crystal from Alexandria via LeMat-Bulk. Energies are from PBEsol.

Structure (POSCAR):
```
Lu2NiOs
1.0
6.5391 0.0000 0.0000
0.0000 6.5391 0.0000
0.0000 0.0000 6.5391
Lu Ni Os
8 4 4
direct
0.2500 0.2500 0.2500
0.2500 0.2500 0.7500
0.2500 0.7500 0.2500
0.2500 0.7500 0.7500
0.7500 0.2500 0.2500
0.7500 0.2500 0.7500
0.7500 0.7500 0.2500
0.7500 0.7500 0.7500
0.0000 0.0000 0.0000
0.0000 0.5000 0.5000
0.5000 0.0000 0.5000
0.5000 0.5000 0.0000
0.0000 0.0000 0.5000
0.0000 0.5000 0.0000
0.5000 0.0000 0.0000
0.5000 0.5000 0.5000
```

Summary:
ΔH_f (0 K)	-0.423	eV/atom
space-group type	Fm-3m

***

8.
Here is a relaxed Lu5NiPb3 crystal from Alexandria via LeMat-Bulk. Energies are from PBEsol.

Structure (POSCAR):
```
Lu5NiPb3
1.0
8.8590 0.0000 0.0000
-4.4295 7.6721 0.0000
0.0000 0.0000 6.4316
Lu Ni Pb
10 2 6
direct
0.0000 0.2375 0.2500
0.0000 0.7625 0.7500
0.2375 0.0000 0.2500
0.2375 0.2375 0.7500
0.3333 0.6667 0.0000
0.3333 0.6667 0.5000
0.6667 0.3333 0.0000
0.6667 0.3333 0.5000
0.7625 0.0000 0.7500
0.7625 0.7625 0.2500
0.0000 0.0000 0.0000
0.0000 0.0000 0.5000
0.0000 0.3998 0.7500
0.0000 0.6002 0.2500
0.3998 0.0000 0.7500
0.3998 0.3998 0.2500
0.6002 0.0000 0.2500
0.6002 0.6002 0.7500
```

Summary:
ΔH_f (0 K)	-0.523	eV/atom
space-group type	P6_3/mcm

***

| no. | raw total energy (eV for the cell shown) |
| --- | --- |
| 1 | -174.5 |
| 2 | -67.7 |
| 3 | -134.8 |
| 4 | -249.9 |
| 5 | -48.3 |
| 6 | -37.6 |
| 7 | -119.2 |
| 8 | -94.4 |